Entry from the Alexandria database: a relaxed CrP2OsS crystal (PBE).

a b c (Å): 4.431 4.431 5.148
angles (deg): 90.00 90.00 90.00
Sites, in units of the cell vectors:
Cr  0.000  0.000  0.000
P  0.000  0.500  0.500
P  0.500  0.000  0.500
Os  0.500  0.500  0.500
S  0.500  0.500  0.000

Values from the calculation:
Total magnetic moment: 0.691 μB/cell
ΔE_f (raw): 1.221 eV per atom
VASP energy: -5.94 eV/atom
Density of states at the Fermi level: 7.6 states/eV/f.u.

=====

Entry from the Alexandria database: a relaxed BaNpRh2O8 crystal (PBE).

a b c (Å): 5.876 5.876 7.488
angles (deg): 90.00 90.00 120.00
Sites, in units of the cell vectors:
Ba  0.000  0.000  0.000
Np  0.000  0.000  0.500
Rh  0.333  0.667  0.764
Rh  0.667  0.333  0.236
O  0.118  0.310  0.680
O  0.192  0.882  0.680
O  0.310  0.192  0.320
O  0.333  0.667  0.003
O  0.667  0.333  0.997
O  0.690  0.808  0.680
O  0.808  0.118  0.320
O  0.882  0.690  0.320

Values from the calculation:
Total magnetic moment: 3.055 μB/cell
ΔE_f (raw): -1.430 eV per atom
VASP energy: -7.20 eV/atom
Density of states at the Fermi level: 6.8 states/eV/f.u.

=====

Entry from the Alexandria database: a relaxed PmPAu crystal (PBE).

a b c (Å): 10.853 4.315 5.882
angles (deg): 90.00 96.17 90.00
Sites, in units of the cell vectors:
Pm  0.137  0.000  0.242
Pm  0.363  0.500  0.758
Pm  0.637  0.500  0.242
Pm  0.863  0.000  0.758
P  0.170  0.000  0.731
P  0.330  0.500  0.269
P  0.670  0.500  0.731
P  0.830  0.000  0.269
Au  0.079  0.500  0.830
Au  0.421  0.000  0.170
Au  0.579  0.000  0.830
Au  0.921  0.500  0.170

Values from the calculation:
Total magnetic moment: 0.000 μB/cell
ΔH_f (0 K): -0.9611 eV/atom
VASP energy: -5.44 eV/atom
Density of states at the Fermi level: 0.6 states/eV/f.u.

=====

Entry from the Alexandria database: a relaxed TbNd4Tm4 crystal (PBE).

a b c (Å): 8.015 8.015 8.015
angles (deg): 95.70 95.70 143.26
Sites, in units of the cell vectors:
Tb  0.000  0.000  0.000
Nd  0.333  0.333  0.666
Nd  0.333  0.667  0.000
Nd  0.667  0.333  0.000
Nd  0.667  0.667  0.334
Tm  0.000  0.336  0.336
Tm  0.000  0.664  0.664
Tm  0.336  0.000  0.336
Tm  0.664  0.000  0.664

Values from the calculation:
Total magnetic moment: 0.000 μB/cell
ΔH_f (0 K): 0.0226 eV/atom
VASP energy: -4.60 eV/atom
Density of states at the Fermi level: 13.4 states/eV/f.u.

=====

Entry from the Alexandria database: a relaxed BPIrAu crystal (PBE).

a b c (Å): 3.521 3.521 17.297
angles (deg): 90.00 90.00 120.00
Sites, in units of the cell vectors:
B  0.000  0.000  0.000
B  0.333  0.667  0.667
B  0.667  0.333  0.333
P  0.000  0.000  0.876
P  0.333  0.667  0.543
P  0.667  0.333  0.209
Ir  0.000  0.000  0.286
Ir  0.333  0.667  0.953
Ir  0.667  0.333  0.620
Au  0.000  0.000  0.738
Au  0.333  0.667  0.404
Au  0.667  0.333  0.071

Values from the calculation:
Total magnetic moment: 0.000 μB/cell
ΔH_f (0 K): 0.0583 eV/atom
VASP energy: -6.00 eV/atom
Density of states at the Fermi level: 1.4 states/eV/f.u.

=====

Entry from the Alexandria database: a relaxed Ca2BiAu6 crystal (PBE).

a b c (Å): 8.534 8.534 3.848
angles (deg): 103.00 103.00 51.67
Sites, in units of the cell vectors:
Ca  0.000  0.000  0.000
Ca  0.737  0.737  0.735
Bi  0.419  0.419  0.920
Au  0.062  0.672  0.367
Au  0.358  0.752  0.555
Au  0.379  0.994  0.184
Au  0.672  0.062  0.367
Au  0.752  0.358  0.555
Au  0.994  0.379  0.184

Values from the calculation:
Total magnetic moment: 0.000 μB/cell
ΔH_f (0 K): -0.4190 eV/atom
VASP energy: -3.48 eV/atom
Density of states at the Fermi level: 3.0 states/eV/f.u.